No. 1
Entry from the Alexandria database: a geometry-optimized PmAl2SiIr2 structure (PBE).

Unit cell a=4.546 b=4.546 c=5.599 alpha=90.00 beta=90.00 gamma=90.00
Positions (direct):
Pm 0.000 0.000 0.000
Al 0.500 0.500 0.244
Al 0.500 0.500 0.756
Si 0.000 0.000 0.500
Ir 0.000 0.500 0.500
Ir 0.500 0.000 0.500

Calculated values
- Calculated volume: 19.286 Å³ per atom
- E: -6.36 eV per atom
- Total moment: 0.0 Bohr magnetons per cell
- DOS(E_F): 0.99 states/eV/atom

---

No. 2
Entry from the Alexandria database: a geometry-optimized PmTaAlIr2 structure (PBE).

Unit cell a=6.393 b=6.393 c=6.393 alpha=141.93 beta=141.93 gamma=54.94
Positions (direct):
Pm 0.000 0.000 0.000
Ta 0.250 0.750 0.500
Al 0.750 0.250 0.500
Ir 0.385 0.385 0.000
Ir 0.615 0.615 0.000

Calculated values
- Calculated volume: 19.729 Å³ per atom
- ΔE_f: -364 kJ/mol of formula units
- Total moment: 0.0 Bohr magnetons per cell
- DOS(E_F): 1.19 states/eV/atom

---

No. 3
Entry from the Alexandria database: a geometry-optimized TbPmAlIr structure (PBE).

Unit cell a=5.053 b=5.053 c=5.053 alpha=60.00 beta=60.00 gamma=60.00
Positions (direct):
Tb 0.000 0.000 0.000
Pm 0.500 0.500 0.500
Al 0.250 0.250 0.250
Ir 0.750 0.750 0.750

Calculated values
- Calculated volume: 22.808 Å³ per atom
- ΔE_f: -182 kJ/mol of formula units
- Total moment: 0.0 Bohr magnetons per cell
- DOS(E_F): 0.91 states/eV/atom

---

No. 4
Entry from the Alexandria database: a geometry-optimized PmTiAlIr2 structure (PBE).

Unit cell a=6.440 b=6.440 c=6.440 alpha=143.14 beta=143.14 gamma=53.11
Positions (direct):
Pm 0.000 0.000 0.000
Ti 0.250 0.750 0.500
Al 0.750 0.250 0.500
Ir 0.384 0.384 0.000
Ir 0.616 0.616 0.000

Calculated values
- Calculated volume: 19.102 Å³ per atom
- ΔE_f: -416 kJ/mol of formula units
- Total moment: 0.0 Bohr magnetons per cell
- DOS(E_F): 0.68 states/eV/atom

---

No. 5
Entry from the Alexandria database: a geometry-optimized PmTmAlIr structure (PBE).

Unit cell a=5.008 b=5.008 c=5.008 alpha=60.00 beta=60.00 gamma=60.00
Positions (direct):
Pm 0.000 0.000 0.000
Tm 0.500 0.500 0.500
Al 0.250 0.250 0.250
Ir 0.750 0.750 0.750

Calculated values
- Calculated volume: 22.199 Å³ per atom
- ΔE_f: -196 kJ/mol of formula units
- Total moment: 0.0 Bohr magnetons per cell
- DOS(E_F): 0.89 states/eV/atom

---

No. 6
Entry from the Alexandria database: a geometry-optimized PmYAlIr structure (PBE).

Unit cell a=5.047 b=5.047 c=5.047 alpha=60.00 beta=60.00 gamma=60.00
Positions (direct):
Pm 0.000 0.000 0.000
Y 0.500 0.500 0.500
Al 0.250 0.250 0.250
Ir 0.750 0.750 0.750

Calculated values
- Calculated volume: 22.720 Å³ per atom
- ΔE_f: -187 kJ/mol of formula units
- Total moment: 0.0 Bohr magnetons per cell
- DOS(E_F): 0.92 states/eV/atom

---

No. 7
Entry from the Alexandria database: a geometry-optimized PrAl2Ir2 structure (PBE).

Unit cell a=4.293 b=4.293 c=10.248 alpha=90.00 beta=90.00 gamma=90.00
Positions (direct):
Pr 0.250 0.250 0.240
Pr 0.750 0.750 0.760
Al 0.250 0.250 0.879
Al 0.250 0.750 0.500
Al 0.750 0.250 0.500
Al 0.750 0.750 0.121
Ir 0.250 0.250 0.632
Ir 0.250 0.750 0.000
Ir 0.750 0.250 0.000
Ir 0.750 0.750 0.368

Calculated values
- Calculated volume: 18.887 Å³ per atom
- ΔE_f: -420 kJ/mol of formula units
- Total moment: 0.0 Bohr magnetons per cell
- DOS(E_F): 0.53 states/eV/atom

---

No. 8
Entry from the Alexandria database: a geometry-optimized Pr3Al3Ir2 structure (PBE).

Unit cell a=8.047 b=15.312 c=5.950 alpha=90.00 beta=90.00 gamma=90.00
Positions (direct):
Pr 0.029 0.108 0.103
Pr 0.029 0.392 0.103
Pr 0.166 0.250 0.612
Pr 0.334 0.750 0.112
Pr 0.471 0.608 0.603
Pr 0.471 0.892 0.603
Pr 0.529 0.108 0.397
Pr 0.529 0.392 0.397
Pr 0.666 0.250 0.888
Pr 0.834 0.750 0.388
Pr 0.971 0.608 0.897
Pr 0.971 0.892 0.897
Al 0.155 0.036 0.597
Al 0.155 0.464 0.597
Al 0.179 0.750 0.594
Al 0.321 0.250 0.094
Al 0.345 0.536 0.097
Al 0.345 0.964 0.097
Al 0.655 0.036 0.903
Al 0.655 0.464 0.903
Al 0.679 0.750 0.906
Al 0.821 0.250 0.406
Al 0.845 0.536 0.403
Al 0.845 0.964 0.403
Ir 0.137 0.603 0.369
Ir 0.137 0.897 0.369
Ir 0.363 0.103 0.869
Ir 0.363 0.397 0.869
Ir 0.637 0.603 0.131
Ir 0.637 0.897 0.131
Ir 0.863 0.103 0.631
Ir 0.863 0.397 0.631

Calculated values
- Calculated volume: 22.909 Å³ per atom
- ΔE_f: -525 kJ/mol of formula units
- Total moment: 0.0 Bohr magnetons per cell
- DOS(E_F): 0.69 states/eV/atom

---

No. 9
Entry from the Alexandria database: a geometry-optimized Pr3Al7Ir4 structure (PBE).

Unit cell a=8.212 b=8.212 c=9.689 alpha=124.25 beta=124.25 gamma=30.37
Positions (direct):
Pr 0.000 0.000 0.000
Pr 0.309 0.309 0.302
Pr 0.691 0.691 0.698
Al 0.000 0.000 0.500
Al 0.159 0.159 0.422
Al 0.315 0.315 0.976
Al 0.496 0.496 0.712
Al 0.504 0.504 0.288
Al 0.685 0.685 0.024
Al 0.841 0.841 0.578
Ir 0.111 0.111 0.833
Ir 0.339 0.339 0.716
Ir 0.661 0.661 0.284
Ir 0.889 0.889 0.167

Calculated values
- Calculated volume: 19.167 Å³ per atom
- ΔE_f: -1026 kJ/mol of formula units
- Total moment: 0.0 Bohr magnetons per cell
- DOS(E_F): 0.54 states/eV/atom

---

No. 10
Entry from the Alexandria database: a geometry-optimized PrAlIr structure (PBE).

Unit cell a=10.318 b=10.318 c=10.318 alpha=23.60 beta=23.60 gamma=23.60
Positions (direct):
Pr 0.107 0.107 0.107
Pr 0.893 0.893 0.893
Al 0.303 0.303 0.303
Al 0.697 0.697 0.697
Ir 0.387 0.387 0.387
Ir 0.613 0.613 0.613

Calculated values
- Calculated volume: 25.771 Å³ per atom
- ΔE_f: -162 kJ/mol of formula units
- Total moment: 0.0 Bohr magnetons per cell
- DOS(E_F): 0.60 states/eV/atom

---

No. 11
Entry from the Alexandria database: a geometry-optimized PrAl2Ir structure (PBE).

Unit cell a=15.482 b=7.050 c=5.955 alpha=90.00 beta=90.00 gamma=90.00
Positions (direct):
Pr 0.100 0.250 0.238
Pr 0.137 0.750 0.026
Pr 0.363 0.250 0.526
Pr 0.400 0.750 0.738
Pr 0.600 0.250 0.262
Pr 0.637 0.750 0.474
Pr 0.863 0.250 0.974
Pr 0.900 0.750 0.762
Al 0.047 0.062 0.719
Al 0.047 0.438 0.719
Al 0.209 0.555 0.543
Al 0.209 0.945 0.543
Al 0.291 0.055 0.043
Al 0.291 0.445 0.043
Al 0.453 0.562 0.219
Al 0.453 0.938 0.219
Al 0.547 0.062 0.781
Al 0.547 0.438 0.781
Al 0.709 0.555 0.957
Al 0.709 0.945 0.957
Al 0.791 0.055 0.457
Al 0.791 0.445 0.457
Al 0.953 0.562 0.281
Al 0.953 0.938 0.281
Ir 0.069 0.750 0.503
Ir 0.191 0.250 0.778
Ir 0.309 0.750 0.278
Ir 0.431 0.250 0.003
Ir 0.569 0.750 0.997
Ir 0.691 0.250 0.722
Ir 0.809 0.750 0.222
Ir 0.931 0.250 0.497

Calculated values
- Calculated volume: 20.310 Å³ per atom
- ΔE_f: -297 kJ/mol of formula units
- Total moment: 0.0 Bohr magnetons per cell
- DOS(E_F): 0.63 states/eV/atom

---

No. 12
Entry from the Alexandria database: a geometry-optimized Pr2Al6Ir structure (PBE).

Unit cell a=6.065 b=6.065 c=5.692 alpha=90.00 beta=90.00 gamma=120.00
Positions (direct):
Pr 0.333 0.667 0.322
Pr 0.667 0.333 0.678
Al 0.170 0.341 0.813
Al 0.170 0.830 0.813
Al 0.341 0.170 0.187
Al 0.659 0.830 0.813
Al 0.830 0.170 0.187
Al 0.830 0.659 0.187
Ir 0.000 0.000 0.500

Calculated values
- Calculated volume: 20.146 Å³ per atom
- ΔE_f: -457 kJ/mol of formula units
- Total moment: 0.0 Bohr magnetons per cell
- DOS(E_F): 0.88 states/eV/atom

---

No. 13
Entry from the Alexandria database: a geometry-optimized Pr2Al9Ir6 structure (PBE).

Unit cell a=6.974 b=6.974 c=8.576 alpha=90.00 beta=90.00 gamma=120.00
Positions (direct):
Pr 0.000 0.000 0.224
Pr 0.000 0.000 0.776
Al 0.000 0.500 0.000
Al 0.000 0.500 0.334
Al 0.000 0.500 0.666
Al 0.500 0.000 0.000
Al 0.500 0.000 0.334
Al 0.500 0.000 0.666
Al 0.500 0.500 0.000
Al 0.500 0.500 0.334
Al 0.500 0.500 0.666
Ir 0.333 0.667 0.168
Ir 0.333 0.667 0.500
Ir 0.333 0.667 0.832
Ir 0.667 0.333 0.168
Ir 0.667 0.333 0.500
Ir 0.667 0.333 0.832

Calculated values
- Calculated volume: 21.248 Å³ per atom
- ΔE_f: -900 kJ/mol of formula units
- Total moment: 1.1 Bohr magnetons per cell
- DOS(E_F): 0.33 states/eV/atom

---

No. 14
Entry from the Alexandria database: a geometry-optimized PrAl2Ir structure (PBE).

Unit cell a=5.914 b=5.914 c=5.914 alpha=42.08 beta=42.08 gamma=42.08
Positions (direct):
Pr 0.000 0.000 0.000
Al 0.206 0.206 0.206
Al 0.794 0.794 0.794
Ir 0.500 0.500 0.500

Calculated values
- Calculated volume: 21.009 Å³ per atom
- ΔE_f: -278 kJ/mol of formula units
- Total moment: 0.0 Bohr magnetons per cell
- DOS(E_F): 0.60 states/eV/atom

---

No. 15
Entry from the Alexandria database: a geometry-optimized PrAlIr structure (PBE).

Unit cell a=4.322 b=4.322 c=4.141 alpha=90.00 beta=90.00 gamma=120.00
Positions (direct):
Pr 0.000 0.000 0.000
Al 0.667 0.333 0.500
Ir 0.333 0.667 0.500

Calculated values
- Calculated volume: 22.329 Å³ per atom
- ΔE_f: -196 kJ/mol of formula units
- Total moment: 0.0 Bohr magnetons per cell
- DOS(E_F): 0.63 states/eV/atom

---

No. 16
Entry from the Alexandria database: a geometry-optimized PrAl3Ir structure (PBE).

Unit cell a=4.368 b=4.368 c=5.293 alpha=90.00 beta=90.00 gamma=90.00
Positions (direct):
Pr 0.000 0.000 0.000
Al 0.000 0.500 0.483
Al 0.500 0.000 0.483
Al 0.500 0.500 0.792
Ir 0.500 0.500 0.259

Calculated values
- Calculated volume: 20.192 Å³ per atom
- Energy above the lowest structure with this stoichiometry: 99 meV/atom
- ΔE_f: -306 kJ/mol of formula units
- Total moment: 0.0 Bohr magnetons per cell
- DOS(E_F): 0.41 states/eV/atom

---

No. 17
Entry from the Alexandria database: a geometry-optimized Pr4AlIr structure (PBE).

Unit cell a=9.943 b=9.943 c=9.943 alpha=60.00 beta=60.00 gamma=60.00
Positions (direct):
Pr 0.188 0.188 0.812
Pr 0.188 0.812 0.188
Pr 0.188 0.812 0.812
Pr 0.400 0.400 0.400
Pr 0.400 0.400 0.801
Pr 0.400 0.801 0.400
Pr 0.554 0.554 0.946
Pr 0.554 0.946 0.554
Pr 0.554 0.946 0.946
Pr 0.801 0.400 0.400
Pr 0.812 0.188 0.188
Pr 0.812 0.188 0.812
Pr 0.812 0.812 0.188
Pr 0.946 0.554 0.554
Pr 0.946 0.554 0.946
Pr 0.946 0.946 0.554
Al 0.176 0.176 0.176
Al 0.176 0.176 0.471
Al 0.176 0.471 0.176
Al 0.471 0.176 0.176
Ir 0.174 0.609 0.609
Ir 0.609 0.174 0.609
Ir 0.609 0.609 0.174
Ir 0.609 0.609 0.609

Calculated values
- Calculated volume: 28.959 Å³ per atom
- Energy above the lowest structure with this stoichiometry: 0 meV/atom
- ΔE_f: -237 kJ/mol of formula units
- Total moment: 0.0 Bohr magnetons per cell
- DOS(E_F): 0.87 states/eV/atom

---

No. 18
Entry from the Alexandria database: a geometry-optimized Pr4AlIr structure (PBE).

Unit cell a=8.384 b=8.384 c=6.167 alpha=103.41 beta=103.41 gamma=114.72
Positions (direct):
Pr 0.063 0.701 0.921
Pr 0.217 0.355 0.673
Pr 0.299 0.937 0.579
Pr 0.355 0.217 0.173
Pr 0.645 0.783 0.827
Pr 0.701 0.063 0.421
Pr 0.783 0.645 0.327
Pr 0.937 0.299 0.079
Al 0.375 0.625 0.250
Al 0.625 0.375 0.750
Ir 0.001 0.999 0.250
Ir 0.999 0.001 0.750

Calculated values
- Calculated volume: 29.623 Å³ per atom
- Energy above the lowest structure with this stoichiometry: 73 meV/atom
- ΔE_f: -194 kJ/mol of formula units
- Total moment: 0.0 Bohr magnetons per cell
- DOS(E_F): 1.18 states/eV/atom

---

No. 19
Entry from the Alexandria database: a geometry-optimized PrAl3Ir3 structure (PBE).

Unit cell a=6.721 b=6.721 c=6.721 alpha=90.00 beta=90.00 gamma=90.00
Positions (direct):
Pr 0.000 0.000 0.000
Pr 0.500 0.500 0.500
Al 0.000 0.250 0.500
Al 0.000 0.750 0.500
Al 0.250 0.500 0.000
Al 0.500 0.000 0.250
Al 0.500 0.000 0.750
Al 0.750 0.500 0.000
Ir 0.000 0.500 0.250
Ir 0.000 0.500 0.750
Ir 0.250 0.000 0.500
Ir 0.500 0.250 0.000
Ir 0.500 0.750 0.000
Ir 0.750 0.000 0.500

Calculated values
- Calculated volume: 21.682 Å³ per atom
- ΔE_f: -144 kJ/mol of formula units
- Total moment: 0.0 Bohr magnetons per cell
- DOS(E_F): 0.68 states/eV/atom

---

No. 20
Entry from the Alexandria database: a geometry-optimized Pr2Al5Ir structure (PBE).

Unit cell a=6.390 b=6.390 c=6.390 alpha=121.85 beta=121.85 gamma=86.83
Positions (direct):
Pr 0.000 0.500 0.500
Pr 0.500 0.000 0.500
Al 0.026 0.026 0.559
Al 0.026 0.467 0.000
Al 0.031 0.031 0.000
Al 0.467 0.026 0.000
Al 0.467 0.467 0.441
Ir 0.769 0.769 0.000

Calculated values
- Calculated volume: 22.384 Å³ per atom
- ΔE_f: -338 kJ/mol of formula units
- Total moment: 0.0 Bohr magnetons per cell
- DOS(E_F): 0.46 states/eV/atom